A plane-wave DFT calculation with PBE was carried out for a relaxed TlInP2 crystal.

Computed properties:
The value obtained for the energy above the lowest structure with this stoichiometry is 233 meV/atom.

a = 4.0256 Å, b = 4.0256 Å, c = 12.9193 Å
α = 90.00°, β = 90.00°, γ = 120.00°
Last column: nearest neighbours and their distance in Å.
Element x y z (fractional)
1 P 0.6667 0.3333 0.6122  3 In 2.74, 3 Tl 2.93
2 In 0.0000 0.0000 0.5000  6 P 2.74
3 P 0.6667 0.3333 0.8878  3 In 2.74, 3 Tl 2.93
4 In 0.0000 0.0000 0.0000  6 P 2.74
5 P 0.3333 0.6667 0.3878  3 In 2.74, 3 Tl 2.93
6 P 0.3333 0.6667 0.1122  3 In 2.74, 3 Tl 2.93
7 Tl 0.6667 0.3333 0.2500  6 P 2.93
8 Tl 0.3333 0.6667 0.7500  6 P 2.93

---

A plane-wave DFT calculation with PBE was carried out for a relaxed TlInP2 crystal.

Computed properties:
The value obtained for the energy above the lowest structure with this stoichiometry is 214 meV/atom.

a = 3.7660 Å, b = 3.8717 Å, c = 6.7199 Å
α = 90.00°, β = 90.00°, γ = 90.00°
Last column: nearest neighbours and their distance in Å.
Element x y z (fractional)
1 Tl 0.5000 0.5000 0.2500  2 In 3.36, 8 P 3.52
2 P 0.0000 0.0000 0.5860  1 P 2.20
3 In 0.5000 0.5000 0.7500  8 P 2.92
4 P 0.0000 0.0000 0.9140  1 P 2.20

---

A plane-wave DFT calculation with PBE was carried out for a relaxed TlIn4P crystal.

a = 6.1660 Å, b = 6.1660 Å, c = 6.1660 Å
α = 60.00°, β = 60.00°, γ = 60.00°
Last column: nearest neighbours and their distance in Å.
Element x y z (fractional)
1 In 0.8730 0.3757 0.3757  6 In 3.07-3.10
2 Tl 0.0000 0.0000 0.0000  12 In 3.62, 4 P 3.78
3 P 0.7500 0.7500 0.7500  12 In 3.61, 4 Tl 3.78
4 In 0.3757 0.8730 0.3757  6 In 3.07-3.10
5 In 0.3757 0.3757 0.8730  6 In 3.07-3.10
6 In 0.3757 0.3757 0.3757  6 In 3.07-3.10

---

A plane-wave DFT calculation with PBE was carried out for a relaxed TlInP2 crystal.

Computed properties:
The value obtained for the energy above the lowest structure with this stoichiometry is 99 meV/atom.

a = 6.0153 Å, b = 6.0153 Å, c = 5.5370 Å
α = 63.77°, β = 63.77°, γ = 32.15°
Last column: nearest neighbours and their distance in Å.
Element x y z (fractional)
1 Tl 0.4786 0.4786 0.5273  8 P 3.30-3.62, 2 Tl 3.33, 4 In 3.45-3.52
2 P 0.0530 0.0530 0.9526  2 P 2.22
3 In 0.2723 0.2723 0.2172  7 P 3.27-3.46, 2 In 3.33, 4 Tl 3.45-3.52
4 P 0.6961 0.6961 0.8030  2 P 2.22

---

A plane-wave DFT calculation with PBE was carried out for a relaxed TlV2InP crystal.

a = 5.2649 Å, b = 4.9516 Å, c = 5.2649 Å
α = 90.00°, β = 90.00°, γ = 90.00°
Last column: nearest neighbours and their distance in Å.
Element x y z (fractional)
1 P 0.0000 0.5000 0.0000  2 In 2.48
2 V 0.5000 0.0000 0.0000  2 In 2.63
3 Tl 0.5000 0.5000 0.5000  8 V 3.61, 4 P 3.72
4 V 0.0000 0.0000 0.5000  2 In 2.63
5 In 0.0000 0.0000 0.0000  2 P 2.48, 4 V 2.63

---

A plane-wave DFT calculation with PBE was carried out for a relaxed UInP crystal.

a = 3.7987 Å, b = 3.7988 Å, c = 11.7258 Å
α = 90.00°, β = 90.00°, γ = 120.00°
Last column: nearest neighbours and their distance in Å.
Element x y z (fractional)
1 P 0.2777 0.5554 0.5000  6 U 2.80
2 P 0.6111 0.2223 0.0000  6 In 2.72
3 In 0.2778 0.5556 0.8630  3 P 2.72
4 In 0.2778 0.5556 0.1370  3 P 2.72
5 U 0.6111 0.2221 0.3515  3 P 2.80
6 U 0.6111 0.2221 0.6485  3 P 2.80

---

A plane-wave DFT calculation with PBE was carried out for a relaxed UInP2 crystal.

Computed properties:
The value obtained for the energy above the lowest structure with this stoichiometry is 0 meV/atom.

a = 4.0862 Å, b = 4.0862 Å, c = 6.7326 Å
α = 72.33°, β = 72.33°, γ = 60.00°
Last column: nearest neighbours and their distance in Å.
Element x y z (fractional)
1 P 0.2664 0.2664 0.2009  3 U 2.65
2 U 0.6640 0.6640 0.0080  6 P 2.65-2.79
3 P 0.0756 0.0756 0.7731  3 U 2.79, 3 In 2.86
4 In 0.4940 0.4940 0.5180  6 P 2.86-3.09

---

A plane-wave DFT calculation with PBE was carried out for a relaxed UInP2 crystal.

Computed properties:
The value obtained for the energy above the lowest structure with this stoichiometry is 88 meV/atom.

a = 3.9974 Å, b = 3.9974 Å, c = 7.5607 Å
α = 74.67°, β = 74.67°, γ = 60.00°
Last column: nearest neighbours and their distance in Å.
Element x y z (fractional)
1 In 0.5000 0.5000 0.5000  6 P 3.18
2 P 0.7324 0.7324 0.8029  3 U 2.71
3 U 0.0000 0.0000 0.0000  6 P 2.71
4 P 0.2676 0.2676 0.1971  3 U 2.71

---

A plane-wave DFT calculation with PBE was carried out for a relaxed U2InP crystal.

a = 3.4872 Å, b = 3.4872 Å, c = 9.2704 Å
α = 79.16°, β = 79.16°, γ = 60.00°
Last column: nearest neighbours and their distance in Å.
Element x y z (fractional)
1 U 0.7331 0.7331 0.8007  3 P 2.70
2 U 0.2669 0.2669 0.1993  3 P 2.70
3 P 0.0000 0.0000 0.0000  6 U 2.70
4 In 0.5000 0.5000 0.5000  6 U 3.38, 6 In 3.49

---

A plane-wave DFT calculation with PBE was carried out for a relaxed VIn3P crystal.

Computed properties:
The value obtained for the energy above the lowest structure with this stoichiometry is 0 meV/atom.

a = 5.1439 Å, b = 5.1439 Å, c = 5.1439 Å
α = 90.00°, β = 90.00°, γ = 90.00°
Last column: nearest neighbours and their distance in Å.
Element x y z (fractional)
1 In 0.0000 0.5000 0.0000  2 P 2.57
2 P 0.0000 0.0000 0.0000  6 In 2.57
3 In 0.0000 0.0000 0.5000  2 P 2.57
4 In 0.5000 0.0000 0.0000  2 P 2.57
5 V 0.5000 0.5000 0.5000  12 In 3.64

---

A plane-wave DFT calculation with PBE was carried out for a relaxed VInP crystal.

a = 4.4954 Å, b = 7.8194 Å, c = 7.8194 Å
α = 85.26°, β = 73.29°, γ = 73.29°
Last column: nearest neighbours and their distance in Å.
Element x y z (fractional)
1 P 0.1812 0.3188 0.3188  4 V 2.30-2.41
2 In 0.1609 0.0000 0.6783  2 V 2.73
3 P 0.5000 0.3188 0.6812  4 V 2.30-2.41
4 In 0.8391 0.0000 0.3217  2 V 2.73
5 V 0.3628 0.6372 0.6372  4 P 2.30-2.41
6 V 0.6372 0.3628 0.3628  4 P 2.30-2.41
7 V 0.0000 0.3628 0.6372  4 P 2.30-2.41
8 In 0.1609 0.6783 0.0000  2 V 2.73
9 V 0.0000 0.6372 0.3628  4 P 2.30-2.41
10 In 0.8391 0.3217 0.0000  2 V 2.73
11 P 0.8188 0.6812 0.6812  4 V 2.30-2.41
12 P 0.5000 0.6812 0.3188  4 V 2.30-2.41

---

A plane-wave DFT calculation with PBE was carried out for a relaxed V2InP crystal.

Computed properties:
The value obtained for the energy above the lowest structure with this stoichiometry is 0 meV/atom.

a = 4.4026 Å, b = 4.4026 Å, c = 4.4026 Å
α = 60.00°, β = 60.00°, γ = 60.00°
Last column: nearest neighbours and their distance in Å.
Element x y z (fractional)
1 V 0.7500 0.7500 0.7500  4 P 2.70, 4 In 2.70
2 P 0.0000 0.0000 0.0000  8 V 2.70
3 In 0.5000 0.5000 0.5000  8 V 2.70
4 V 0.2500 0.2500 0.2500  4 In 2.70, 4 P 2.70

---

A plane-wave DFT calculation with PBE was carried out for a relaxed V3InP crystal.

Computed properties:
The value obtained for the energy above the lowest structure with this stoichiometry is 0 meV/atom.

a = 4.4024 Å, b = 4.4024 Å, c = 4.4024 Å
α = 90.00°, β = 90.00°, γ = 90.00°
Last column: nearest neighbours and their distance in Å.
Element x y z (fractional)
1 V 0.0000 0.0000 0.5000  2 P 2.20
2 In 0.5000 0.5000 0.5000  12 V 3.11
3 V 0.5000 0.0000 0.0000  2 P 2.20
4 P 0.0000 0.0000 0.0000  6 V 2.20
5 V 0.0000 0.5000 0.0000  2 P 2.20

---

A plane-wave DFT calculation with PBE was carried out for a relaxed V3InP crystal.

Computed properties:
The value obtained for the energy above the lowest structure with this stoichiometry is 1688 meV/atom.

a = 4.9416 Å, b = 4.9416 Å, c = 4.9416 Å
α = 90.00°, β = 90.00°, γ = 90.00°
Last column: nearest neighbours and their distance in Å.
Element x y z (fractional)
1 P 0.5000 0.5000 0.5000  12 V 3.49
2 V 0.5000 0.0000 0.0000  2 In 2.47
3 In 0.0000 0.0000 0.0000  6 V 2.47
4 V 0.0000 0.5000 0.0000  2 In 2.47
5 V 0.0000 0.0000 0.5000  2 In 2.47

---

A plane-wave DFT calculation with PBE was carried out for a relaxed VIn3P crystal.

Computed properties:
The value obtained for the energy above the lowest structure with this stoichiometry is 67 meV/atom.

a = 5.2653 Å, b = 5.2653 Å, c = 5.2653 Å
α = 90.00°, β = 90.00°, γ = 90.00°
Last column: nearest neighbours and their distance in Å.
Element x y z (fractional)
1 In 0.0000 0.0000 0.5000  2 V 2.63
2 P 0.5000 0.5000 0.5000  12 In 3.72
3 V 0.0000 0.0000 0.0000  6 In 2.63
4 In 0.5000 0.0000 0.0000  2 V 2.63
5 In 0.0000 0.5000 0.0000  2 V 2.63

---

A plane-wave DFT calculation with PBE was carried out for a relaxed V2InP crystal.

Computed properties:
The value obtained for the energy above the lowest structure with this stoichiometry is 93 meV/atom.

a = 4.1013 Å, b = 4.1013 Å, c = 9.1426 Å
α = 77.04°, β = 77.04°, γ = 90.00°
Last column: nearest neighbours and their distance in Å.
Element x y z (fractional)
1 In 0.0000 0.0000 0.0000  4 V 2.89, 4 P 2.90
2 V 0.2692 0.6250 0.2500  2 V 2.23, 2 P 2.44
3 In 0.7500 0.2500 0.5000  4 V 2.89, 4 P 2.90
4 V 0.8750 0.7308 0.7500  2 V 2.23, 2 P 2.44
5 V 0.4808 0.1250 0.2500  2 V 2.23, 2 P 2.44
6 V 0.3750 0.5192 0.7500  2 V 2.23, 2 P 2.44
7 P 0.2500 0.7500 0.5000  4 V 2.44
8 P 0.5000 0.5000 0.0000  4 V 2.44

---

A plane-wave DFT calculation with PBE was carried out for a relaxed YVInP2 crystal.

a = 4.6767 Å, b = 5.2388 Å, c = 4.6767 Å
α = 90.00°, β = 90.00°, γ = 90.00°
Last column: nearest neighbours and their distance in Å.
Element x y z (fractional)
1 V 0.0000 0.0000 0.0000  4 P 2.34
2 P 0.5000 0.0000 0.0000  2 V 2.34
3 P 0.0000 0.0000 0.5000  2 V 2.34
4 Y 0.5000 0.5000 0.5000  4 In 3.31, 8 P 3.51
5 In 0.0000 0.5000 0.0000  2 V 2.62

---

A plane-wave DFT calculation with PBE was carried out for a relaxed VZn2InP crystal.

a = 5.0329 Å, b = 4.5043 Å, c = 5.0329 Å
α = 90.00°, β = 90.00°, γ = 90.00°
Last column: nearest neighbours and their distance in Å.
Element x y z (fractional)
1 In 0.5000 0.5000 0.5000  8 Zn 3.38, 4 P 3.56
2 Zn 0.5000 0.0000 0.0000  2 V 2.52
3 P 0.0000 0.5000 0.0000  2 V 2.25
4 Zn 0.0000 0.0000 0.5000  2 V 2.52
5 V 0.0000 0.0000 0.0000  2 P 2.25, 4 Zn 2.52

---

A plane-wave DFT calculation with PBE was carried out for a relaxed InP2W crystal.

a = 4.4262 Å, b = 4.4262 Å, c = 4.4262 Å
α = 114.98°, β = 114.98°, γ = 98.93°
Last column: nearest neighbours and their distance in Å.
Element x y z (fractional)
1 P 0.0000 0.0000 0.0000  4 W 2.78, 4 In 2.78, 2 P 2.88
2 In 0.7500 0.2500 0.5000  8 P 2.78, 2 W 2.88
3 W 0.2500 0.7500 0.5000  8 P 2.78, 2 In 2.88
4 P 0.5000 0.5000 0.0000  4 In 2.78, 4 W 2.78, 2 P 2.88

---

A plane-wave DFT calculation with PBE was carried out for a relaxed InP2W crystal.

a = 5.8178 Å, b = 5.8178 Å, c = 6.9695 Å
α = 65.33°, β = 65.33°, γ = 90.00°
Last column: nearest neighbours and their distance in Å.
Element x y z (fractional)
1 In 0.2500 0.7500 0.5000  4 P 2.67
2 P 0.0748 0.6250 0.2500  2 W 2.33
3 P 0.3750 0.3248 0.7500  2 W 2.33
4 P 0.8750 0.9252 0.7500  2 W 2.33
5 W 0.7500 0.2500 0.5000  4 P 2.33
6 P 0.6752 0.1250 0.2500  2 W 2.33
7 In 0.5000 0.5000 0.0000  4 P 2.67
8 W 0.0000 0.0000 0.0000  4 P 2.33

---

| no. | energy of formation (eV/atom) |
| --- | --- |
| 1 | 0.237 |
| 2 | 0.218 |
| 3 | 0.353 |
| 4 | 0.103 |
| 5 | 1.354 |
| 6 | -0.026 |
| 7 | -0.371 |
| 8 | -0.283 |
| 9 | -0.186 |
| 10 | 0.838 |
| 11 | -0.285 |
| 12 | 0.264 |
| 13 | 0.081 |
| 14 | 1.769 |
| 15 | 0.905 |
| 16 | 0.357 |
| 17 | -0.099 |
| 18 | 0.339 |
| 19 | 0.521 |
| 20 | 0.261 |